# 1
VASP calculation (PBE) on an optimized crystal structure of Tb4In2GaHg.

Cell lengths 5.2762, 5.2762, 25.7262 Å; angles 90.00, 90.00, 120.00 degrees
Last column: nearest neighbours and their distance in Å.
Space group R-3m (No. 166, hexagonal axes)
Symmetry-distinct sites (fractional):
Tb 0.0000 0.0000 0.1220 [6 per cell]  1 Ga 3.14, 4 In 3.18-3.23, 3 Hg 3.26
Tb 0.0000 0.0000 0.3726 [6 per cell]  3 Ga 3.21, 4 In 3.22-3.27, 1 Hg 3.28
In 0.0000 0.0000 0.2475 [6 per cell]  8 Tb 3.18-3.27
Ga 0.0000 0.0000 0.0000 [3 per cell]  8 Tb 3.14-3.21
Hg 0.0000 0.0000 0.5000 [3 per cell]  8 Tb 3.26-3.28

Properties
As for the volume: 25.84 Å³ per atom. Its formation energy is -0.488 eV/atom. As for the spin magnetization: 0.0 μB/cell. Its total DFT energy (no corrections) is -93.699 eV per cell.

# 2
VASP calculation (PBE) on an optimized crystal structure of InGa2TcHg.

Cell lengths 4.8760, 4.8760, 5.2789 Å; angles 90.00, 90.00, 90.00 degrees
Last column: nearest neighbours and their distance in Å.
Space group P4/mmm (No. 123)
Symmetry-distinct sites (fractional):
In 0.0000 0.0000 0.0000 [1 per cell]  2 Tc 2.64
Ga 0.0000 0.5000 0.5000 [2 per cell]  2 Tc 2.44
Tc 0.0000 0.0000 0.5000 [1 per cell]  4 Ga 2.44, 2 In 2.64
Hg 0.5000 0.5000 0.0000 [1 per cell]  4 In 3.45, 8 Ga 3.59

Properties
As for the volume: 25.10 Å³ per atom. Its formation energy is 0.182 eV/atom. As for the spin magnetization: 0.0 μB/cell. Its total DFT energy (no corrections) is -18.551 eV per cell.